# 1
The following is a DFT calculation (PBE-GGA) of Tb3Pr6Nd2Tm after structural relaxation.

Results
As for the space group: C2/m, No. 12. The calculation puts the formation enthalpy at 0 K at 0.1 eV per formula unit. As for the calculated density: 7.17 g/cm3. As for the total magnetization: 0.0 μB/f.u. The uncorrected energy comes out at -56.4 eV/f.u.

Unit cell a=6.342 b=6.342 c=12.026 alpha=95.04 beta=95.04 gamma=120.01
Atoms (fractional coordinates):
Pr: 0.752 0.752 0.252
Pr: 0.584 0.916 0.748
Pr: 0.416 0.084 0.252
Pr: 0.916 0.584 0.748
Pr: 0.248 0.248 0.748
Pr: 0.084 0.416 0.252
Tb: 0.166 0.834 0.500
Tb: 0.834 0.166 0.500
Tb: 0.500 0.500 0.500
Nd: 0.333 0.667 0.000
Nd: 0.667 0.333 0.000
Tm: 0.000 0.000 0.000

# 2
The following is a DFT calculation (PBE-GGA) of CsErAgSe3 after structural relaxation.

Results
As for the space group: Cmcm, No. 63. As for the calculated density: 5.77 g/cm3. As for the total magnetization: 0.0 μB/f.u. As for the formation energy (no corrections): -1130 meV per atom. The uncorrected energy comes out at -25.5 eV/f.u.

Unit cell a=4.136 b=8.589 c=10.771 alpha=90.00 beta=90.00 gamma=103.93
Atoms (fractional coordinates):
Cs: 0.250 0.501 0.250
Cs: 0.750 0.499 0.750
Se: 0.616 0.233 0.044
Se: 0.935 0.870 0.250
Se: 0.616 0.233 0.456
Se: 0.384 0.767 0.956
Se: 0.384 0.767 0.544
Se: 0.065 0.130 0.750
Ag: 0.535 0.069 0.250
Ag: 0.465 0.931 0.750
Er: 0.000 0.000 0.000
Er: 0.000 0.000 0.500

# 3
The following is a DFT calculation (PBE-GGA) of Ba2Hf3O8 after structural relaxation.

Results
As for the space group: C2/m, No. 12. As for the calculated density: 7.16 g/cm3. As for the total magnetization: 0.0 μB/f.u. As for the formation energy (no corrections): -3345 meV per atom. The uncorrected energy comes out at -116.9 eV/f.u.

Unit cell a=5.553 b=6.597 c=7.141 alpha=117.51 beta=107.92 gamma=90.00
Atoms (fractional coordinates):
O: 0.028 0.400 0.801
O: 0.901 0.090 0.181
O: 0.385 0.879 0.188
O: 0.615 0.691 0.812
O: 0.385 0.309 0.188
O: 0.615 0.121 0.812
O: 0.099 0.910 0.819
O: 0.972 0.600 0.199
Hf: 0.500 0.000 0.000
Hf: 0.000 0.261 0.000
Hf: 0.000 0.739 0.000
Ba: 0.333 0.281 0.562
Ba: 0.667 0.719 0.438

# 4
The following is a DFT calculation (PBE-GGA) of Ce6TlRu3 after structural relaxation.

Results
As for the space group: P2_1/m, No. 11. The calculation puts the formation enthalpy at 0 K at -2.2 eV per formula unit. As for the calculated density: 8.42 g/cm3. As for the total magnetization: 3.1 μB/f.u. The uncorrected energy comes out at -68.0 eV/f.u.

Unit cell a=3.962 b=11.332 c=12.237 alpha=104.45 beta=90.00 gamma=90.00
Last column: magnetic moment on the atom in μB.
Atoms (fractional coordinates):
Ce: 0.750 0.772 0.771  0.61
Ce: 0.250 0.619 0.963  0.29
Ce: 0.750 0.508 0.626  0.39
Ce: 0.250 0.228 0.229  0.61
Ce: 0.750 0.918 0.091  0.48
Ce: 0.250 0.301 0.746  0.52
Ce: 0.750 0.381 0.037  0.29
Ce: 0.750 0.172 0.463  0.45
Ce: 0.250 0.828 0.537  0.45
Ce: 0.750 0.699 0.254  0.52
Ce: 0.250 0.492 0.374  0.39
Ce: 0.250 0.082 0.909  0.48
Ru: 0.750 0.478 0.838  -0.08
Ru: 0.250 0.336 0.520  -0.07
Ru: 0.750 0.156 0.078  -0.09
Ru: 0.750 0.664 0.480  -0.07
Ru: 0.250 0.844 0.922  -0.09
Ru: 0.250 0.522 0.162  -0.08
Tl: 0.750 0.048 0.685  0.00
Tl: 0.250 0.952 0.315  0.00

# 5
The following is a DFT calculation (PBE-GGA) of Pr2CdPd3 after structural relaxation.

Results
As for the space group: Pnma, No. 62. The calculation puts the formation enthalpy at 0 K at -4.2 eV per formula unit. As for the calculated density: 8.78 g/cm3. As for the total magnetization: 0.0 μB/f.u. For the distance to the lowest polymorph of the same formula, the calculation gives 0.0000 eV per atom. The uncorrected energy comes out at -30.3 eV/f.u.

Unit cell a=4.005 b=7.543 c=17.859 alpha=90.00 beta=90.00 gamma=90.00
Atoms (fractional coordinates):
Pr: 0.250 0.153 0.929
Pr: 0.750 0.847 0.071
Pr: 0.250 0.653 0.571
Pr: 0.750 0.898 0.288
Pr: 0.750 0.398 0.212
Pr: 0.750 0.347 0.429
Pr: 0.250 0.602 0.788
Pr: 0.250 0.102 0.712
Pd: 0.750 0.291 0.811
Pd: 0.750 0.732 0.445
Pd: 0.750 0.909 0.843
Pd: 0.750 0.232 0.055
Pd: 0.750 0.409 0.657
Pd: 0.250 0.591 0.343
Pd: 0.250 0.209 0.311
Pd: 0.250 0.768 0.945
Pd: 0.250 0.268 0.555
Pd: 0.250 0.091 0.157
Pd: 0.750 0.791 0.689
Pd: 0.250 0.709 0.189
Cd: 0.250 0.486 0.063
Cd: 0.250 0.986 0.437
Cd: 0.750 0.014 0.563
Cd: 0.750 0.514 0.937

# 6
The following is a DFT calculation (PBE-GGA) of KCu3 after structural relaxation.

Results
As for the space group: P-6m2, No. 187. The calculation puts the formation enthalpy at 0 K at 2.4 eV per formula unit. As for the calculated density: 5.72 g/cm3. As for the total magnetization: 0.0 μB/f.u. For the distance to the lowest polymorph of the same formula, the calculation gives 0.4107 eV per atom. The uncorrected energy comes out at -11.0 eV/f.u.

Unit cell a=2.858 b=2.858 c=9.429 alpha=90.00 beta=90.00 gamma=120.00
Atoms (fractional coordinates):
K: 0.667 0.333 0.750
Cu: 0.000 0.000 0.454
Cu: 0.667 0.333 0.250
Cu: 0.000 0.000 0.046

# 7
The following is a DFT calculation (PBE-GGA) of Li2SiRu after structural relaxation.

Results
As for the space group: Pmmm, No. 47. As for the calculated density: 4.62 g/cm3. As for the total magnetization: 0.0 μB/f.u. As for the formation energy (no corrections): -302 meV per atom. The uncorrected energy comes out at -19.7 eV/f.u.

Unit cell a=2.953 b=3.945 c=4.416 alpha=90.00 beta=90.00 gamma=90.00
Atoms (fractional coordinates):
Li: 0.000 0.000 0.000
Li: 0.500 0.500 0.000
Si: 0.000 0.500 0.500
Ru: 0.500 0.000 0.500

# 8
The following is a DFT calculation (PBE-GGA) of BaAgN2 after structural relaxation.

Results
As for the space group: Fm-3m, No. 225. As for the calculated density: 6.46 g/cm3. As for the total magnetization: 3.0 μB/f.u. As for the formation energy (no corrections): 1065 meV per atom. For the distance to the lowest polymorph of the same formula, the calculation gives 0.1980 eV per atom. The uncorrected energy comes out at -17.2 eV/f.u.

Unit cell a=4.632 b=4.632 c=4.632 alpha=60.00 beta=60.00 gamma=60.00
Last column: magnetic moment on the atom in μB.
Atoms (fractional coordinates):
Ba: 0.500 0.500 0.500  0.04
Ag: 0.000 0.000 0.000  0.11
N: 0.250 0.250 0.250  1.02
N: 0.750 0.750 0.750  1.02

# 9
The following is a DFT calculation (PBE-GGA) of LaTmMn17 after structural relaxation.

Results
As for the space group: R3m, No. 160. The calculation puts the formation enthalpy at 0 K at 0.7 eV per formula unit. As for the calculated density: 8.08 g/cm3. As for the total magnetization: 4.5 μB/f.u. The uncorrected energy comes out at -164.6 eV/f.u.

Unit cell a=6.355 b=6.355 c=6.355 alpha=86.37 beta=86.37 gamma=86.37
Last column: magnetic moment on the atom in μB.
Atoms (fractional coordinates):
Mn: 0.273 0.727 0.002  -1.08
Mn: 0.727 0.002 0.273  -1.08
Mn: 0.644 0.121 0.644  2.41
Mn: 0.727 0.273 0.002  -1.08
Mn: 0.002 0.273 0.727  -1.08
Mn: 0.273 0.002 0.727  -1.08
Mn: 0.121 0.644 0.644  2.41
Mn: 0.354 0.354 0.877  2.37
Mn: 0.003 0.499 0.003  0.33
Mn: 0.499 0.003 0.003  0.33
Mn: 0.100 0.100 0.100  -2.00
Mn: 0.877 0.354 0.354  2.37
Mn: 0.354 0.877 0.354  2.37
Mn: 0.901 0.901 0.901  -2.12
Mn: 0.644 0.644 0.121  2.41
Mn: 0.002 0.727 0.273  -1.08
Mn: 0.003 0.003 0.499  0.33
Tm: 0.352 0.352 0.352  -0.16
La: 0.642 0.642 0.642  -0.07

# 10
The following is a DFT calculation (PBE-GGA) of LaCoRe2 after structural relaxation.

Results
As for the space group: Cmmm, No. 65. The calculation puts the formation enthalpy at 0 K at 3.4 eV per formula unit. As for the calculated density: 13.50 g/cm3. As for the total magnetization: 1.1 μB/f.u. For the distance to the lowest polymorph of the same formula, the calculation gives 0.6762 eV per atom. The uncorrected energy comes out at -33.6 eV/f.u.

Unit cell a=5.511 b=5.511 c=2.775 alpha=90.00 beta=90.00 gamma=123.66
Last column: magnetic moment on the atom in μB.
Atoms (fractional coordinates):
Co: 0.500 0.000 0.500  -0.97
Re: 0.500 0.500 0.000  -0.12
Re: 0.000 0.000 0.000  -0.12
La: 0.000 0.500 0.500  0.05

# 11
The following is a DFT calculation (PBE-GGA) of Li2Ho2TmCd5 after structural relaxation.

Results
As for the space group: P4/mbm, No. 127. The calculation puts the formation enthalpy at 0 K at -2.6 eV per formula unit. As for the calculated density: 7.96 g/cm3. As for the total magnetization: 0.0 μB/f.u. The uncorrected energy comes out at -24.6 eV/f.u.

Unit cell a=4.147 b=10.397 c=10.397 alpha=90.00 beta=90.00 gamma=90.00
Atoms (fractional coordinates):
Tm: 0.000 0.000 0.000
Tm: 0.000 0.500 0.500
Li: 0.000 0.115 0.615
Li: 0.000 0.615 0.885
Li: 0.000 0.385 0.115
Li: 0.000 0.885 0.385
Ho: 0.000 0.179 0.321
Ho: 0.000 0.321 0.821
Ho: 0.000 0.821 0.679
Ho: 0.000 0.679 0.179
Cd: 0.500 0.938 0.215
Cd: 0.500 0.562 0.715
Cd: 0.500 0.000 0.500
Cd: 0.500 0.785 0.938
Cd: 0.500 0.438 0.285
Cd: 0.500 0.500 0.000
Cd: 0.500 0.062 0.785
Cd: 0.500 0.285 0.562
Cd: 0.500 0.215 0.062
Cd: 0.500 0.715 0.438

> What is the formula in the seventh record?

Li2SiRu